Pa2InI11: relaxed, PBE.

Calculated values
Space group = Ibam (72)
Formation energy without anion corrections = -18.69 kcal/mol of atoms

POSCAR file:
```
Pa2InI11
1.0
-6.974 7.003 7.909
6.974 -7.003 7.909
6.974 7.003 -7.909
Pa In I
4 2 22
Direct
0.159 0.159 0.318
0.341 0.659 0.000
0.659 0.341 0.000
0.841 0.841 0.682
0.250 0.750 0.500
0.750 0.250 0.500
0.000 0.000 0.000
0.077 0.866 0.681
0.104 0.422 0.789
0.133 0.922 0.318
0.185 0.396 0.319
0.197 0.803 0.000
0.303 0.303 0.606
0.315 0.634 0.211
0.367 0.685 0.789
0.396 0.185 0.318
0.423 0.104 0.789
0.500 0.500 0.000
0.577 0.896 0.211
0.604 0.815 0.682
0.633 0.315 0.211
0.685 0.366 0.789
0.697 0.697 0.394
0.803 0.197 0.000
0.815 0.604 0.681
0.867 0.078 0.682
0.896 0.578 0.211
0.923 0.134 0.319
```

=====

PaInI2: relaxed, PBE.

Calculated values
Space group = R-3m (166)
Formation energy without anion corrections = 1.37 kcal/mol of atoms

POSCAR file:
```
PaInI2
1.0
3.839 0.000 0.000
-1.920 3.325 0.000
0.000 0.000 34.316
Pa In I
3 3 6
Direct
0.000 0.000 0.000
0.333 0.667 0.667
0.667 0.333 0.333
0.000 0.000 0.500
0.333 0.667 0.167
0.667 0.333 0.833
0.000 0.000 0.086
0.000 0.000 0.914
0.333 0.667 0.581
0.333 0.667 0.753
0.667 0.333 0.247
0.667 0.333 0.419
```